Compound: Rb3AlNi
Source: Alexandria via LeMat-Bulk
Functional: GGA-PBE
Structure: optimized geometry

Final energy = -1.688 eV/atom
Energy of formation from the pure elements = 798 meV per atom
Space group = Pm-3m
Crystal system = cubic
Total moment = 1.95 μB/cell

a b c (Å): 6.3871 6.3871 6.3871
angles (deg): 90.00 90.00 90.00
Closest atoms and distances in Å follow each position.
Atoms (fractional coordinates):
Rb  0.0000  0.0000  0.5000  2 Ni 3.19
Rb  0.0000  0.5000  0.0000  2 Ni 3.19
Rb  0.5000  0.0000  0.0000  2 Ni 3.19
Al  0.5000  0.5000  0.5000  12 Rb 4.52
Ni  0.0000  0.0000  0.0000  6 Rb 3.19

=====

Compound: Zr7Se8N4
Source: Alexandria via LeMat-Bulk
Functional: GGA-PBE
Structure: optimized geometry

Final energy = -7.593 eV/atom
Space group = P1
Crystal system = triclinic
Total moment = 0.00 μB/cell

a b c (Å): 7.0124 7.7891 8.0791
angles (deg): 107.63 102.74 100.07
Closest atoms and distances in Å follow each position.
Atoms (fractional coordinates):
Zr  0.0000  0.0000  0.0000  3 N 2.04-2.12
Zr  0.1127  0.7192  0.2793  2 N 2.15
Zr  0.2726  0.1951  0.5243  1 N 2.23
Zr  0.3959  0.8153  0.8206  2 N 2.21-2.30
Zr  0.6329  0.4493  0.1095  1 N 2.16
Zr  0.7482  0.9400  0.2735  3 N 2.11-2.31
Zr  0.8786  0.5737  0.5740  1 N 2.03
Se  0.2221  0.5298  0.4921  4 Zr 2.66-2.77
Se  0.3177  0.1576  0.8644  4 Zr 2.75-2.93, 1 N 3.01
Se  0.3794  0.6705  0.0812  4 Zr 2.69-2.80
Se  0.4828  0.9380  0.5340  3 Zr 2.70-2.90
Se  0.5388  0.2542  0.3063  2 Zr 2.62-2.91
Se  0.6026  0.5042  0.7651  4 Zr 2.81-3.01
Se  0.9319  0.2286  0.6034  3 Zr 2.64-2.85
Se  0.9521  0.3620  0.0412  3 Zr 2.57-2.83
N  0.0594  0.7795  0.8055  2 Zr 2.03-2.12
N  0.0728  0.9818  0.2622  4 Zr 2.12-2.27
N  0.7066  0.9366  0.0057  3 Zr 2.04-2.21
N  0.8271  0.6880  0.3397  4 Zr 2.15-2.31

=====

Compound: YZrW2
Source: Alexandria via LeMat-Bulk
Functional: GGA-PBE
Structure: optimized geometry

Final energy = -9.749 eV/atom
Energy of formation from the pure elements = 481 meV per atom
Energy above the most stable polymorph in this dataset = 273 meV/atom
Space group = P2/m
Crystal system = monoclinic
Total moment = 0.00 μB/cell

a b c (Å): 2.9254 4.7967 5.9392
angles (deg): 90.00 100.42 90.00
Closest atoms and distances in Å follow each position.
Atoms (fractional coordinates):
Y  0.0000  0.0000  0.0000  2 Y 2.93, 2 Zr 3.06, 4 W 3.10
Zr  0.5000  0.0000  0.5000  4 W 2.88, 2 Zr 2.93, 2 Y 3.06
W  0.2301  0.5000  0.7095  1 W 2.61, 2 Zr 2.88
W  0.7699  0.5000  0.2905  1 W 2.61, 2 Zr 2.88

=====

Compound: CuSiAg2
Source: Alexandria via LeMat-Bulk
Functional: GGA-PBE
Structure: optimized geometry

Final energy = -3.573 eV/atom
Space group = P2/m
Crystal system = monoclinic
Total moment = 0.00 μB/cell

a b c (Å): 2.8644 4.5304 4.9056
angles (deg): 90.00 92.38 90.00
Closest atoms and distances in Å follow each position.
Atoms (fractional coordinates):
Cu  0.0000  0.0000  0.0000  4 Ag 2.70, 4 Si 2.79-2.89, 2 Cu 2.86
Si  0.5000  0.0000  0.5000  4 Ag 2.67, 4 Cu 2.79-2.89, 2 Si 2.86
Ag  0.2709  0.5000  0.7503  2 Si 2.67, 2 Cu 2.70, 6 Ag 2.73-2.95
Ag  0.7291  0.5000  0.2497  2 Si 2.67, 2 Cu 2.70, 6 Ag 2.73-2.95

=====

Compound: SmDy6Y2Th
Source: Alexandria via LeMat-Bulk
Functional: GGA-PBE
Structure: optimized geometry

Final energy = -5.119 eV/atom
Energy of formation from the pure elements = 149 meV per atom
Space group = C2/c
Crystal system = monoclinic
Total moment = 0.00 μB/cell

a b c (Å): 8.7852 8.7852 9.5095
angles (deg): 93.43 93.43 116.67
Closest atoms and distances in Å follow each position.
Atoms (fractional coordinates):
Sm  0.0288  0.9712  0.7500  4 Y 3.35-3.44, 4 Dy 3.51-3.67
Sm  0.9712  0.0288  0.2500  4 Y 3.35-3.44, 4 Dy 3.51-3.67
Dy  0.0199  0.5696  0.6858  1 Dy 3.21, 1 Y 3.42, 1 Th 3.47, 1 Sm 3.51
Dy  0.1201  0.7519  0.0600  7 Dy 3.44-3.70, 1 Y 3.50, 1 Sm 3.67, 1 Th 3.81
Dy  0.2481  0.8799  0.4400  7 Dy 3.44-3.70, 1 Y 3.50, 1 Sm 3.67, 1 Th 3.81
Dy  0.2961  0.5128  0.8835  4 Dy 3.21-3.53, 3 Y 3.28-3.46, 2 Th 3.42-3.50
Dy  0.4304  0.9801  0.8142  1 Dy 3.21, 1 Y 3.42, 1 Th 3.47, 1 Sm 3.51
Dy  0.4872  0.7039  0.6165  4 Dy 3.21-3.53, 3 Y 3.28-3.46, 2 Th 3.42-3.50
Dy  0.5128  0.2961  0.3835  4 Dy 3.21-3.53, 3 Y 3.28-3.46, 2 Th 3.42-3.50
Dy  0.5696  0.0199  0.1858  1 Dy 3.21, 1 Y 3.42, 1 Th 3.47, 1 Sm 3.51
Dy  0.7039  0.4872  0.1165  4 Dy 3.21-3.53, 3 Y 3.28-3.46, 2 Th 3.42-3.50
Dy  0.7519  0.1201  0.5600  7 Dy 3.44-3.70, 1 Y 3.50, 1 Sm 3.67, 1 Th 3.81
Dy  0.8799  0.2481  0.9400  7 Dy 3.44-3.70, 1 Y 3.50, 1 Sm 3.67, 1 Th 3.81
Dy  0.9801  0.4304  0.3142  1 Dy 3.21, 1 Y 3.42, 1 Th 3.47, 1 Sm 3.51
Y  0.1954  0.2972  0.5485  6 Dy 3.28-3.60, 2 Sm 3.35-3.44, 1 Th 3.57
Y  0.2972  0.1954  0.0485  6 Dy 3.28-3.60, 2 Sm 3.35-3.44, 1 Th 3.57
Y  0.7028  0.8046  0.9515  6 Dy 3.28-3.60, 2 Sm 3.35-3.44, 1 Th 3.57
Y  0.8046  0.7028  0.4515  6 Dy 3.28-3.60, 2 Sm 3.35-3.44, 1 Th 3.57
Th  0.4073  0.5927  0.2500  8 Dy 3.42-3.81, 2 Y 3.57
Th  0.5927  0.4073  0.7500  8 Dy 3.42-3.81, 2 Y 3.57

=====

Compound: NbMo3W2
Source: Alexandria via LeMat-Bulk
Functional: GGA-PBE
Structure: optimized geometry

Final energy = -11.475 eV/atom
Energy of formation from the pure elements = -64 meV per atom
Space group = C2/c
Crystal system = monoclinic
Total moment = 0.00 μB/cell

a b c (Å): 6.9536 6.9536 4.5166
angles (deg): 108.83 108.83 87.18
Closest atoms and distances in Å follow each position.
Atoms (fractional coordinates):
Nb  0.0850  0.9150  0.7500  4 Mo 2.75-2.79, 2 W 2.77, 2 Nb 2.79
Nb  0.9150  0.0850  0.2500  4 Mo 2.75-2.79, 2 W 2.77, 2 Nb 2.79
Mo  0.0000  0.5000  0.5000  2 Nb 2.75, 4 Mo 2.76, 2 W 2.76
Mo  0.1685  0.3365  0.0025  3 W 2.73-2.79, 4 Mo 2.76-2.77, 1 Nb 2.79
Mo  0.3365  0.1685  0.5025  3 W 2.73-2.79, 4 Mo 2.76-2.77, 1 Nb 2.79
Mo  0.5000  0.0000  0.0000  2 Nb 2.75, 4 Mo 2.76, 2 W 2.76
Mo  0.6635  0.8315  0.4975  3 W 2.73-2.79, 4 Mo 2.76-2.77, 1 Nb 2.79
Mo  0.8315  0.6635  0.9975  3 W 2.73-2.79, 4 Mo 2.76-2.77, 1 Nb 2.79
W  0.2526  0.7474  0.2500  4 Mo 2.73-2.79, 2 W 2.75, 2 Nb 2.77
W  0.4169  0.5831  0.7500  4 Mo 2.75-2.76, 4 W 2.75-2.76
W  0.5831  0.4169  0.2500  4 Mo 2.75-2.76, 4 W 2.75-2.76
W  0.7474  0.2526  0.7500  4 Mo 2.73-2.79, 2 W 2.75, 2 Nb 2.77

=====

Look up the total moment of the sixth one. 0.00 μB/cell

=====

Look up the final energy of the third one. -9.749 eV/atom